No. 1
# TlAuS PBE-GGA relaxed
# Crystal system: tetragonal
# Size of the total moment (μB per atom): 0.000
# E_form (uncorrected) (eV/atom): 0.22
data_TlAuS
_symmetry_space_group_name_H-M 'P 42/m m c'
_symmetry_Int_Tables_number 131
_symmetry_space_group_name_Hall '-P 4c 2'
_cell_length_a 8.174
_cell_length_b 8.174
_cell_length_c 6.483
_cell_angle_alpha 90.00
_cell_angle_beta 90.00
_cell_angle_gamma 90.00
loop_
_atom_site_label
_atom_site_type_symbol
_atom_site_fract_x
_atom_site_fract_y
_atom_site_fract_z
Tl1 Tl 0.000 0.265 0.000
Au1 Au 0.170 0.500 0.500
S1 S 0.000 0.252 0.500

=====

No. 2
# Ag3SnF PBE-GGA relaxed
# Crystal system: cubic
# Size of the total moment (μB per atom): 0.104
# E_form (uncorrected) (eV/atom): 0.36
data_Ag3SnF
_symmetry_space_group_name_H-M 'P m -3 m'
_symmetry_Int_Tables_number 221
_symmetry_space_group_name_Hall '-P 4 2 3'
_cell_length_a 5.282
_cell_length_b 5.282
_cell_length_c 5.282
_cell_angle_alpha 90.00
_cell_angle_beta 90.00
_cell_angle_gamma 90.00
loop_
_atom_site_label
_atom_site_type_symbol
_atom_site_fract_x
_atom_site_fract_y
_atom_site_fract_z
Ag1 Ag 0.000 0.000 0.500
Sn1 Sn 0.000 0.000 0.000
F1 F 0.500 0.500 0.500

=====

No. 3
# NaTiI2O PBE-GGA relaxed
# Crystal system: tetragonal
# Size of the total moment (μB per atom): 0.518
# E_form (uncorrected) (eV/atom): -0.02
data_NaTiI2O
_symmetry_space_group_name_H-M 'P 4/m m m'
_symmetry_Int_Tables_number 123
_symmetry_space_group_name_Hall '-P 4 2'
_cell_length_a 5.369
_cell_length_b 5.369
_cell_length_c 4.135
_cell_angle_alpha 90.00
_cell_angle_beta 90.00
_cell_angle_gamma 90.00
loop_
_atom_site_label
_atom_site_type_symbol
_atom_site_fract_x
_atom_site_fract_y
_atom_site_fract_z
Na1 Na 0.000 0.000 0.000
Ti1 Ti 0.500 0.500 0.000
I1 I 0.000 0.500 0.500
O1 O 0.000 0.000 0.500

=====

No. 4
# AcNd5In2 PBE-GGA relaxed
# Crystal system: monoclinic
# Size of the total moment (μB per atom): 0.000
# Total DFT energy (no corrections) (eV for the cell shown): -140.40
data_AcNd5In2
_symmetry_space_group_name_H-M 'C 1 2/m 1'
_symmetry_Int_Tables_number 12
_symmetry_space_group_name_Hall '-C 2y'
_cell_length_a 14.853
_cell_length_b 14.887
_cell_length_c 4.729
_cell_angle_alpha 90.00
_cell_angle_beta 90.01
_cell_angle_gamma 90.00
loop_
_atom_site_label
_atom_site_type_symbol
_atom_site_fract_x
_atom_site_fract_y
_atom_site_fract_z
Ac1 Ac 0.000 0.117 0.000
Nd1 Nd 0.113 0.500 0.502
Nd2 Nd 0.120 0.258 0.500
Nd3 Nd 0.250 0.119 0.000
In1 In 0.000 0.372 0.000
In2 In 0.143 0.000 0.500

=====

No. 5
# TmMg2Pb9 PBE-GGA relaxed
# Crystal system: tetragonal
# Size of the total moment (μB per atom): 0.000
# Total DFT energy (no corrections) (eV for the cell shown): -41.77
data_TmMg2Pb9
_symmetry_space_group_name_H-M 'P 4/m m m'
_symmetry_Int_Tables_number 123
_symmetry_space_group_name_Hall '-P 4 2'
_cell_length_a 4.781
_cell_length_b 4.781
_cell_length_c 15.237
_cell_angle_alpha 90.00
_cell_angle_beta 90.00
_cell_angle_gamma 90.00
loop_
_atom_site_label
_atom_site_type_symbol
_atom_site_fract_x
_atom_site_fract_y
_atom_site_fract_z
Tm1 Tm 0.000 0.000 0.000
Mg1 Mg 0.000 0.000 0.335
Pb1 Pb 0.000 0.500 0.167
Pb2 Pb 0.000 0.500 0.500
Pb3 Pb 0.500 0.500 0.000
Pb4 Pb 0.500 0.500 0.334

=====

No. 6
# Dy2MgIn3 PBE-GGA relaxed
# Crystal system: orthorhombic
# Size of the total moment (μB per atom): 0.000
# Total DFT energy (no corrections) (eV for the cell shown): -171.13
data_Dy2MgIn3
_symmetry_space_group_name_H-M 'F m m m'
_symmetry_Int_Tables_number 69
_symmetry_space_group_name_Hall '-F 2 2'
_cell_length_a 7.028
_cell_length_b 9.964
_cell_length_c 17.249
_cell_angle_alpha 90.00
_cell_angle_beta 90.00
_cell_angle_gamma 90.00
loop_
_atom_site_label
_atom_site_type_symbol
_atom_site_fract_x
_atom_site_fract_y
_atom_site_fract_z
Dy1 Dy 0.248 0.000 0.000
Dy2 Dy 0.250 0.250 0.250
Mg1 Mg 0.000 0.000 0.332
In1 In 0.000 0.000 0.169
In2 In 0.000 0.247 0.416

=====

No. 7
# Na2PrIrO4 PBE-GGA relaxed
# Crystal system: tetragonal
# Size of the total moment (μB per atom): 0.251
# E_form (uncorrected) (eV/atom): -1.72
data_Na2PrIrO4
_symmetry_space_group_name_H-M 'I -4'
_symmetry_Int_Tables_number 82
_symmetry_space_group_name_Hall 'I -4'
_cell_length_a 5.888
_cell_length_b 5.888
_cell_length_c 6.584
_cell_angle_alpha 90.00
_cell_angle_beta 90.00
_cell_angle_gamma 90.00
loop_
_atom_site_label
_atom_site_type_symbol
_atom_site_fract_x
_atom_site_fract_y
_atom_site_fract_z
Na1 Na 0.000 0.000 0.000
Na2 Na 0.000 0.500 0.250
Pr1 Pr 0.000 0.000 0.500
Ir1 Ir 0.000 0.500 0.750
O1 O 0.194 0.228 0.749

=====

No. 8
# Dy3TmS4 PBE-GGA relaxed
# Crystal system: orthorhombic
# Size of the total moment (μB per atom): 0.000
# E_form (uncorrected) (eV/atom): -1.97
data_Dy3TmS4
_symmetry_space_group_name_H-M 'C m m m'
_symmetry_Int_Tables_number 65
_symmetry_space_group_name_Hall '-C 2 2'
_cell_length_a 7.840
_cell_length_b 11.005
_cell_length_c 3.856
_cell_angle_alpha 90.00
_cell_angle_beta 90.00
_cell_angle_gamma 90.00
loop_
_atom_site_label
_atom_site_type_symbol
_atom_site_fract_x
_atom_site_fract_y
_atom_site_fract_z
Dy1 Dy 0.000 0.000 0.000
Dy2 Dy 0.250 0.250 0.500
Tm1 Tm 0.000 0.500 0.000
S1 S 0.000 0.252 0.000
S2 S 0.246 0.500 0.500